No. 1
NpCoBr6: optimized geometry, PBE.

Properties
electronic total energy: -37.0 eV per cell

Cell lengths 7.3112, 7.3112, 6.4710 Å; angles 92.03, 92.03, 117.05 degrees
Closest atoms and distances in Å follow each position.
Positions (direct):
1 Np 0.0000 0.0000 0.0000  6 Br 2.75
2 Co 0.0000 0.0000 0.5000  6 Br 2.60
3 Br 0.0076 0.7129 0.2580  1 Co 2.60, 1 Np 2.75
4 Br 0.2787 0.2787 0.2915  1 Co 2.60, 1 Np 2.75
5 Br 0.2871 0.9924 0.7420  1 Co 2.60, 1 Np 2.75
6 Br 0.7129 0.0076 0.2580  1 Co 2.60, 1 Np 2.75
7 Br 0.7213 0.7213 0.7085  1 Co 2.60, 1 Np 2.75
8 Br 0.9924 0.2871 0.7420  1 Co 2.60, 1 Np 2.75

No. 2
Ac2YTmTe6: optimized geometry, PBE.

Properties
electronic total energy: -52.4 eV per cell

Cell lengths 8.4139, 8.4139, 8.4139 Å; angles 57.38, 57.38, 57.38 degrees
Closest atoms and distances in Å follow each position.
Positions (direct):
1 Ac 0.0000 0.0000 0.0000  6 Te 3.32-3.38
2 Ac 0.4999 0.4999 0.4999  6 Te 3.31-3.38
3 Y 0.2984 0.2984 0.2984  6 Te 3.06-3.10
4 Tm 0.7986 0.7986 0.7986  6 Te 3.03-3.07
5 Te 0.0654 0.4350 0.6666  1 Tm 3.03, 1 Y 3.10, 2 Ac 3.32-3.38
6 Te 0.1635 0.9321 0.5684  1 Y 3.06, 1 Tm 3.07, 2 Ac 3.31-3.38
7 Te 0.4350 0.6666 0.0654  1 Tm 3.03, 1 Y 3.10, 2 Ac 3.32-3.38
8 Te 0.5684 0.1635 0.9321  1 Y 3.06, 1 Tm 3.07, 2 Ac 3.31-3.38
9 Te 0.6666 0.0654 0.4350  1 Tm 3.03, 1 Y 3.10, 2 Ac 3.32-3.38
10 Te 0.9321 0.5684 0.1635  1 Y 3.06, 1 Tm 3.07, 2 Ac 3.31-3.38

No. 3
BaPd4Pt: optimized geometry, PBE.

Properties
energy of formation from the pure elements: -0.159 eV per atom

Cell lengths 7.9796, 4.1832, 7.5375 Å; angles 90.00, 90.00, 90.00 degrees
Closest atoms and distances in Å follow each position.
Positions (direct):
1 Ba 0.2500 0.0000 0.1278  1 Pt 3.05, 6 Pd 3.25-3.27
2 Ba 0.7500 0.0000 0.8722  1 Pt 3.05, 6 Pd 3.25-3.27
3 Pd 0.0000 0.0000 0.5000  2 Pt 2.61, 8 Pd 2.86-2.91
4 Pd 0.0443 0.5000 0.7540  2 Pt 2.67, 4 Pd 2.77-2.86
5 Pd 0.2500 0.5000 0.4577  8 Pd 2.77-2.91, 2 Pt 2.90
6 Pd 0.4557 0.5000 0.7540  2 Pt 2.67, 4 Pd 2.77-2.86
7 Pd 0.5000 0.0000 0.5000  2 Pt 2.61, 8 Pd 2.86-2.91
8 Pd 0.5443 0.5000 0.2460  2 Pt 2.67, 4 Pd 2.77-2.86
9 Pd 0.7500 0.5000 0.5423  8 Pd 2.77-2.91, 2 Pt 2.90
10 Pd 0.9557 0.5000 0.2460  2 Pt 2.67, 4 Pd 2.77-2.86
11 Pt 0.2500 0.0000 0.7235  8 Pd 2.61-2.90
12 Pt 0.7500 0.0000 0.2765  8 Pd 2.61-2.90

No. 4
Ac8Te4PtRh3: optimized geometry, PBE.

Properties
electronic total energy: -92.1 eV per cell

Cell lengths 9.4881, 9.4881, 9.4881 Å; angles 55.69, 55.69, 55.69 degrees
Closest atoms and distances in Å follow each position.
Positions (direct):
1 Ac 0.2324 0.7393 0.7393  2 Rh 3.05, 1 Pt 3.09
2 Ac 0.2369 0.2369 0.2369  3 Rh 3.06
3 Ac 0.2607 0.2607 0.7676  2 Rh 3.05, 1 Pt 3.09
4 Ac 0.2607 0.7676 0.2607  2 Rh 3.05, 1 Pt 3.09
5 Ac 0.7393 0.2324 0.7393  2 Rh 3.05, 1 Pt 3.09
6 Ac 0.7393 0.7393 0.2324  2 Rh 3.05, 1 Pt 3.09
7 Ac 0.7631 0.7631 0.7631  3 Rh 3.06
8 Ac 0.7676 0.2607 0.2607  2 Rh 3.05, 1 Pt 3.09
9 Te 0.0000 0.0000 0.0000  6 Ac 3.42
10 Te 0.0000 0.5000 0.5000  6 Ac 3.45-3.46
11 Te 0.5000 0.0000 0.5000  6 Ac 3.45-3.46
12 Te 0.5000 0.5000 0.0000  6 Ac 3.45-3.46
13 Pt 0.5000 0.5000 0.5000  6 Ac 3.09
14 Rh 0.0000 0.0000 0.5000  6 Ac 3.05-3.06
15 Rh 0.0000 0.5000 0.0000  6 Ac 3.05-3.06
16 Rh 0.5000 0.0000 0.0000  6 Ac 3.05-3.06

No. 5
KGaPt2: optimized geometry, PBE.

Properties
energy of formation from the pure elements: -0.396 eV per atom

Cell lengths 6.4609, 6.4609, 6.4609 Å; angles 40.70, 40.70, 40.70 degrees
Closest atoms and distances in Å follow each position.
Positions (direct):
1 K 0.0000 0.0000 0.0000  2 Pt 3.23
2 Ga 0.5000 0.5000 0.5000  6 Pt 2.61
3 Pt 0.1818 0.1818 0.1818  3 Ga 2.61, 3 Pt 2.65
4 Pt 0.8182 0.8182 0.8182  3 Ga 2.61, 3 Pt 2.65

No. 6
SrSiBrN2: optimized geometry, PBE.

Properties
electronic total energy: -16.2 eV per cell

Cell lengths 4.4900, 4.4900, 5.6104 Å; angles 90.00, 90.00, 90.00 degrees
Closest atoms and distances in Å follow each position.
Positions (direct):
1 Sr 0.0000 0.0000 0.0000  2 Br 2.81
2 Si 0.5000 0.5000 0.0000  4 Sr 3.17
3 Br 0.0000 0.0000 0.5000  4 N 2.24
4 N 0.0000 0.5000 0.5000  2 Br 2.24
5 N 0.5000 0.0000 0.5000  2 Br 2.24

Please write out number 2 again, unchanged.
Ac2YTmTe6: optimized geometry, PBE.

Properties
electronic total energy: -52.4 eV per cell

Cell lengths 8.4139, 8.4139, 8.4139 Å; angles 57.38, 57.38, 57.38 degrees
Closest atoms and distances in Å follow each position.
Positions (direct):
1 Ac 0.0000 0.0000 0.0000  6 Te 3.32-3.38
2 Ac 0.4999 0.4999 0.4999  6 Te 3.31-3.38
3 Y 0.2984 0.2984 0.2984  6 Te 3.06-3.10
4 Tm 0.7986 0.7986 0.7986  6 Te 3.03-3.07
5 Te 0.0654 0.4350 0.6666  1 Tm 3.03, 1 Y 3.10, 2 Ac 3.32-3.38
6 Te 0.1635 0.9321 0.5684  1 Y 3.06, 1 Tm 3.07, 2 Ac 3.31-3.38
7 Te 0.4350 0.6666 0.0654  1 Tm 3.03, 1 Y 3.10, 2 Ac 3.32-3.38
8 Te 0.5684 0.1635 0.9321  1 Y 3.06, 1 Tm 3.07, 2 Ac 3.31-3.38
9 Te 0.6666 0.0654 0.4350  1 Tm 3.03, 1 Y 3.10, 2 Ac 3.32-3.38
10 Te 0.9321 0.5684 0.1635  1 Y 3.06, 1 Tm 3.07, 2 Ac 3.31-3.38